# OsRuN

A relaxed structure of OsRuN (PBE, Alexandria).

Geometry as POSCAR:
```
OsRuN
1.0
2.751 0.000 0.000
-1.375 2.382 0.000
0.000 0.000 16.535
Ru Os N
3 3 3
Direct
0.667 0.333 0.624
0.000 0.000 0.290
0.333 0.667 0.957
0.000 0.000 0.761
0.667 0.333 0.095
0.333 0.667 0.428
0.667 0.333 0.210
0.333 0.667 0.544
0.000 0.000 0.877
```

Values from the calculation:
Uncorrected formation energy = 394 meV per atom
SG = R3m
Crystal system = trigonal
Energy above the lowest structure with this stoichiometry = 41 meV per atom

---

# Mg2SiSn

A relaxed structure of Mg2SiSn (PBE, Alexandria).

Geometry as POSCAR:
```
Mg2SiSn
1.0
-5.840 -2.125 5.071
0.696 -7.624 -2.393
-0.613 -5.342 3.399
Sn Mg Si
2 4 2
Direct
0.000 0.000 0.000
0.750 0.250 0.500
0.576 0.125 0.250
0.375 0.424 0.750
0.174 0.625 0.250
0.875 0.826 0.750
0.250 0.750 0.500
0.500 0.500 0.000
```

Values from the calculation:
Uncorrected formation energy = 200 meV per atom
SG = I-42d
Crystal system = tetragonal
Energy above the lowest structure with this stoichiometry = 189 meV per atom

---

# CaAgTe2

A relaxed structure of CaAgTe2 (PBE, Alexandria).

Geometry as POSCAR:
```
CaAgTe2
1.0
-0.269 0.110 -4.545
3.773 -0.426 -2.515
0.348 -6.715 -2.465
Ag Te Ca
1 2 1
Direct
0.669 0.669 0.992
0.078 0.078 0.767
0.255 0.255 0.234
0.498 0.498 0.507
```

Values from the calculation:
Uncorrected formation energy = -642 meV per atom
SG = R3m
Crystal system = trigonal

---

# BeAlAs

A relaxed structure of BeAlAs (PBE, Alexandria).

Geometry as POSCAR:
```
BeAlAs
1.0
-0.804 0.215 -5.511
-3.007 -2.937 -3.660
0.529 2.989 4.674
Be Al As
1 1 1
Direct
0.328 0.328 0.000
0.975 0.975 0.000
0.697 0.697 0.000
```

Values from the calculation:
Calculated formation energy = 0.296 eV per atom
SG = Imm2
Crystal system = orthorhombic
Energy above the lowest structure with this stoichiometry = 182 meV per atom

---

# Ac4Pr2Nd3

A relaxed structure of Ac4Pr2Nd3 (PBE, Alexandria).

Geometry as POSCAR:
```
Ac4Pr2Nd3
1.0
-0.826 3.206 -4.339
0.165 -3.146 -5.780
-10.419 -4.568 -1.396
Ac Nd Pr
4 3 2
Direct
0.666 0.667 0.889
0.334 0.333 0.111
0.003 0.993 0.333
0.997 0.007 0.667
0.665 0.670 0.552
0.000 0.000 0.000
0.335 0.330 0.448
0.670 0.659 0.227
0.330 0.341 0.773
```

Values from the calculation:
Calculated formation energy = 0.032 eV per atom
SG = P-1
Crystal system = triclinic
Energy above the lowest structure with this stoichiometry = 0 meV per atom

---

# Ti2RuRhF

A relaxed structure of Ti2RuRhF (PBE, Alexandria).

Geometry as POSCAR:
```
Ti2RuRhF
1.0
-2.716 0.117 -3.795
-3.174 -0.528 2.255
-0.442 4.624 0.459
Ti Rh F Ru
2 1 1 1
Direct
0.000 0.000 0.500
0.500 0.000 0.000
0.500 0.500 0.500
0.000 0.500 0.000
0.000 0.000 0.000
```

Values from the calculation:
Uncorrected formation energy = 42 meV per atom
SG = P4/mmm
Crystal system = tetragonal

---

# NpUNiPt

A relaxed structure of NpUNiPt (PBE, Alexandria).

Geometry as POSCAR:
```
NpUNiPt
1.0
-0.141 4.614 -0.280
-0.135 2.062 -4.137
-3.866 2.114 -1.404
U Np Pt Ni
1 1 1 1
Direct
0.000 0.000 0.000
0.750 0.750 0.750
0.250 0.250 0.250
0.500 0.500 0.500
```

Values from the calculation:
Calculated formation energy = -0.463 eV per atom
SG = F-43m
Crystal system = cubic

---

The calculation returns the following density of states at the Fermi level values, one per record and in order: 5.43; 5.37; 2.78; 1.15; 17.09; 3.50; 4.65 states/eV per cell.